Entry 1:
12
Lattice="2.900 1.674 9.473 -2.900 1.674 9.473 0.000 -3.348 9.473" Properties=species:S:1:pos:R:3 comment="K3Ag8Au PBE optimized geometry" e_tot_ev_per_atom=-2.43 formation_enthalpy_0k_ev_per_atom=0.02 magmom_total_mub_per_atom=0.00 pbc="T T T"
K 0.000 0.000 0.000
K 0.000 0.000 3.630
K 0.000 0.000 17.585
Ag 0.000 -1.670 6.444
Ag -1.447 0.835 6.444
Ag -1.436 -0.829 11.325
Ag 0.000 0.000 8.880
Ag 1.447 0.835 6.444
Ag 1.436 -0.829 11.325
Ag 0.000 1.658 11.325
Ag 0.000 0.000 23.101
Au 0.000 0.000 13.963

---

Entry 2:
16
Lattice="7.709 0.000 0.000 -3.854 6.676 0.000 0.000 0.000 5.542" Properties=species:S:1:pos:R:3 comment="Sb3Rh5 PBE optimized geometry" e_tot_ev_per_atom=-6.39 raw_formation_energy_ev_per_atom=-0.25 polymorph_energy_ev_per_atom=0.0813 magmom_total_mub_per_atom=0.00 pbc="T T T"
Sb -1.421 2.461 1.385
Sb -2.433 4.215 4.156
Sb 2.842 0.000 1.385
Sb 1.421 2.461 4.156
Sb 4.867 0.000 4.156
Sb 2.433 4.215 1.385
Rh -1.129 1.956 4.156
Rh -2.725 4.720 1.385
Rh 2.258 0.000 4.156
Rh 1.129 1.956 1.385
Rh 0.000 4.451 0.000
Rh 0.000 4.451 2.771
Rh 3.854 2.225 0.000
Rh 3.854 2.225 2.771
Rh 5.451 0.000 1.385
Rh 2.725 4.720 4.156

---

Entry 3:
12
Lattice="3.280 0.000 0.000 -1.640 2.841 0.000 0.000 0.000 30.427" Properties=species:S:1:pos:R:3 comment="GdZr2Ru PBE optimized geometry" e_tot_ev_per_atom=-9.98 formation_enthalpy_0k_ev_per_atom=0.13 magmom_total_mub_per_atom=1.88 pbc="T T T"
Gd 0.000 0.000 0.000
Gd 0.000 1.894 20.285
Gd 1.640 0.947 10.142
Zr 0.000 0.000 3.155
Zr 0.000 0.000 27.272
Zr 0.000 1.894 17.130
Zr 0.000 1.894 23.440
Zr 1.640 0.947 6.987
Zr 1.640 0.947 13.298
Ru 0.000 0.000 15.214
Ru 0.000 1.894 5.071
Ru 1.640 0.947 25.356

---

Entry 4:
8
Lattice="5.666 0.000 0.000 0.000 11.871 0.000 -2.678 0.000 3.251" Properties=species:S:1:pos:R:3 comment="ZnHg2Br PBE optimized geometry" e_tot_ev_per_atom=-0.92 raw_formation_energy_ev_per_atom=-0.04 polymorph_energy_ev_per_atom=0.1488 magmom_total_mub_per_atom=0.00 pbc="T T T"
Zn 0.000 0.000 0.000
Zn 2.833 5.936 0.000
Hg 0.078 2.968 1.626
Hg 0.078 8.903 1.626
Hg 2.911 2.968 1.626
Hg 2.911 8.903 1.626
Br 0.000 5.936 0.000
Br 2.833 0.000 0.000